! Li2VH2OF5 PBE with a Hubbard U optimized geometry; values from VASP
&SYSTEM
  ibrav = 0, nat = 22, ntyp = 5
/
ATOMIC_SPECIES
V 50.94 V.upf
F 19.00 F.upf
Li 6.94 Li.upf
O 16.00 O.upf
H 1.01 H.upf
ATOMIC_POSITIONS angstrom
V 5.074 1.299 1.957
V 3.442 4.341 5.872
F 4.248 4.886 4.117
F 6.540 2.269 2.905
F 1.976 3.371 4.923
F 4.479 2.775 5.872
F 2.625 3.811 7.627
F 4.037 2.865 1.957
F 4.907 5.312 6.821
F 3.609 0.328 1.008
F 4.268 0.754 3.711
F 5.890 1.829 0.202
Li 2.385 1.655 3.935
Li 6.327 4.266 7.809
Li 2.189 1.374 0.020
Li 6.130 3.985 3.893
O 5.837 0.725 5.872
O 2.679 4.915 1.957
H 5.847 1.414 6.585
H 2.669 4.225 1.244
H 5.198 0.984 5.160
H 3.318 4.655 2.669
CELL_PARAMETERS angstrom
5.740 0.004 -0.001
2.244 5.283 -0.001
0.532 0.352 7.831
! Relative energy among the computed polymorphs: 0.0352 eV/atom